Mn2CoMo | the Alexandria database | PBE | optimized geometry; V = 49.0 Å³/cell; ρ = 8.978 Mg/m³; E_form = 0.0685 eV per atom; DFT total energy = -9.001 eV/atom; size of the total moment = 0.7 μB/cell; SG = I-4m2 (119)
1.0
-1.1489 2.3509 -3.6812
-3.9482 -1.4434 -1.6512
1.3114 1.2465 4.1382
Mn Co Mo
2 1 1
Cartesian
-2.5927 0.1285 -0.0896
0.0000 0.0000 0.0000
-1.1931 2.0256 -1.1046
-2.5486 0.4538 -2.6662

=====

LaCu3O4 | the Alexandria database | PBE | optimized geometry; V = 193.4 Å³/cell; ρ = 6.759 Mg/m³; E_form (uncorrected) = -1418 meV/atom; DFT total energy = -6.049 eV/atom; size of the total moment = 0.0 μB/cell; SG = Pm-3n (223)
1.0
-0.5736 -4.9759 2.8897
2.7974 -2.7789 -4.2298
5.0284 0.9784 2.6828
Cu La O
6 2 8
Cartesian
2.0840 -3.2427 3.5087
2.6558 -1.1449 -1.4442
1.8112 -4.5721 -1.7274
0.4125 -3.1827 0.3874
5.1700 -0.6557 -0.1028
2.3708 -0.7548 2.0638
3.6261 -3.3882 0.6714
0.0000 0.0000 0.0000
1.8130 -1.6941 0.3357
5.7259 -2.5944 -0.4378
4.0404 -3.6928 3.1219
4.3272 -1.2049 1.6771
5.4391 -5.0823 1.0071
2.9249 -5.5715 -0.3343
1.5262 -4.1820 1.7806
3.2117 -3.0836 -1.7792

=====

MgF | the Alexandria database | PBE | optimized geometry; V = 121.3 Å³/cell; ρ = 2.370 Mg/m³; E_form (uncorrected) = -2394 meV/atom; DFT total energy = -4.126 eV/atom; E above lowest polymorph = 0.0471 eV per atom; size of the total moment = 0.0 μB/cell; SG = C2/m (12)
1.0
7.0940 0.0000 -0.0126
0.0000 3.1704 0.0000
-1.4536 0.0000 5.3982
Mg F
4 4
Cartesian
0.9876 0.0000 1.2410
0.2608 1.5852 3.9401
4.6527 0.0000 4.1446
5.3795 1.5852 1.4455
4.2518 0.0000 2.1181
1.3885 0.0000 3.2675
2.1153 1.5852 0.5684
3.5250 1.5852 4.8172

=====

CsCa2TmBr8 | the Alexandria database | PBE | optimized geometry; V = 448.9 Å³/cell; ρ = 3.777 Mg/m³; E_form (uncorrected) = -1876 meV/atom; DFT total energy = -3.769 eV/atom; size of the total moment = 0.0 μB/cell; SG = P-1 (2)
1.0
7.0521 0.0449 -0.0001
0.0998 6.7987 -0.0001
0.0129 0.0205 9.3641
Br Ca Cs Tm
8 2 1 1
Cartesian
5.8974 1.6979 1.8819
2.8663 1.8532 4.6863
4.8743 5.1187 9.3622
5.9142 1.7182 7.4785
4.2984 5.0109 4.6777
1.2506 5.1459 1.8854
1.2674 5.1662 7.4820
2.2904 1.7454 0.0018
3.5857 3.4360 7.0098
3.5790 3.4281 2.3541
0.0065 0.0102 4.6821
0.0000 0.0000 0.0000

=====

Ba5CrH2N4 | the Alexandria database | PBE | optimized geometry; V = 257.5 Å³/cell; ρ = 5.137 Mg/m³; DFT total energy = -5.429 eV/atom; size of the total moment = 1.7 μB/cell; SG = Amm2 (38)
1.0
-4.1192 -2.7462 -4.1985
5.5355 -2.0387 0.9206
-2.6987 -4.7336 5.7439
H N Ba Cr
2 4 5 1
Cartesian
-0.3115 -4.4520 1.6411
-2.2650 -5.9293 -0.4942
3.5178 -1.7280 0.2287
-0.0084 -1.6616 -1.3733
-2.8534 -2.4394 -1.3537
-4.5643 -5.4403 2.2877
-0.4465 -4.6538 4.4349
-3.0935 -3.5296 1.0942
-1.5491 -6.9663 2.0111
1.0489 -2.0308 1.2521
-0.0537 -4.3433 -1.1717
-1.6900 -1.1267 -1.7225

=====

DyScRhAu | the Alexandria database | PBE | optimized geometry; V = 80.5 Å³/cell; ρ = 10.467 Mg/m³; E_form = -0.8158 eV per atom; DFT total energy = -6.206 eV/atom; size of the total moment = 0.0 μB/cell; SG = F-43m (216)
1.0
-2.9445 -3.5190 1.5600
1.0573 -2.4207 4.0632
-2.6760 0.6685 3.9848
Sc Dy Rh Au
1 1 1 1
Cartesian
0.0000 0.0000 0.0000
-2.2816 -2.6356 4.8040
-3.4224 -3.9534 7.2060
-1.1408 -1.3178 2.4020

=====

CaLaPr4 | the Alexandria database | PBE | optimized geometry; V = 233.3 Å³/cell; ρ = 5.285 Mg/m³; E_form = 0.1868 eV per atom; DFT total energy = -4.154 eV/atom; E above lowest polymorph = 0.1542 eV per atom; size of the total moment = 0.0 μB/cell; SG = F-43m (216)
1.0
-2.6198 6.1122 -1.8778
-3.2081 0.6618 -6.0843
-6.8471 0.9051 -0.2152
Pr La Ca
4 1 1
Cartesian
-6.6140 1.7282 -4.1725
-6.3177 4.4731 -2.0541
-4.4851 4.3505 -5.0098
-7.9333 4.8063 -5.1182
0.0000 0.0000 0.0000
-3.1688 1.9198 -2.0443

=====

Na3TlIn5 | the Alexandria database | PBE | optimized geometry; V = 523.2 Å³/cell; ρ = 5.379 Mg/m³; E_form = 0.0529 eV per atom; DFT total energy = -2.171 eV/atom; size of the total moment = 0.0 μB/cell; SG = I4/mcm (140)
1.0
9.1120 0.0000 0.0000
0.0000 9.1120 0.0000
-4.5560 -4.5560 6.3013
Na Tl In
6 2 10
Cartesian
3.5735 8.1295 0.0000
0.9825 3.5735 0.0000
8.1295 5.5385 0.0000
0.0000 0.0000 3.1507
5.5385 0.9825 0.0000
4.5560 4.5560 3.1507
4.5560 0.0000 3.1507
0.0000 4.5560 3.1507
7.2564 2.7004 1.6834
2.7004 1.8557 1.6834
-1.8557 -2.7004 4.6179
1.8557 6.4117 1.6834
1.8557 2.7004 4.6179
2.7004 -1.8557 4.6179
-2.7004 1.8557 4.6179
6.4117 7.2564 1.6834
4.5560 4.5560 0.0000
0.0000 0.0000 0.0000

=====

TlRhOF2 | the Alexandria database | PBE | optimized geometry; V = 77.1 Å³/cell; ρ = 7.776 Mg/m³; E_form (uncorrected) = -1165 meV/atom; DFT total energy = -4.849 eV/atom; E above lowest polymorph = 0.0000 eV per atom; size of the total moment = 0.0 μB/cell; SG = P4/mmm (123)
1.0
4.5292 0.0000 0.0000
0.0000 4.5292 0.0000
0.0000 0.0000 3.7608
F Tl O Rh
2 1 1 1
Cartesian
0.0000 2.2646 0.0000
2.2646 0.0000 0.0000
2.2646 2.2646 1.8804
0.0000 0.0000 1.8804
0.0000 0.0000 0.0000

=====

MgAg3Hg2 | the Alexandria database | PBE | optimized geometry; V = 238.3 Å³/cell; ρ = 10.438 Mg/m³; E_form = -0.0415 eV per atom; DFT total energy = -1.833 eV/atom; size of the total moment = 0.0 μB/cell; SG = C2/m (12)
1.0
3.3416 0.0000 0.5479
1.0757 7.7063 3.9035
0.2174 -0.3151 9.1387
Ag Hg Mg
6 4 2
Cartesian
2.7000 0.8426 4.4611
3.9449 5.4942 7.3326
2.5554 3.9261 5.3431
0.6898 1.8971 6.2575
2.0793 3.4652 8.2470
1.9347 6.5487 9.1290
1.2415 2.8425 2.8921
3.3931 4.5487 10.6980
1.1004 6.0351 3.7530
3.5343 1.3562 9.8371
2.4479 7.5245 5.9987
2.1868 -0.1332 7.5913

=====

Dy7YTm5 | the Alexandria database | PBE | optimized geometry; V = 421.3 Å³/cell; ρ = 8.164 Mg/m³; E_form = 0.2509 eV per atom; DFT total energy = -4.444 eV/atom; size of the total moment = 0.0 μB/cell; SG = Imm2 (44)
1.0
6.2027 0.0000 2.2730
2.9883 7.9796 1.4449
0.3541 -0.1728 8.6335
Tm Y Dy
5 1 7
Cartesian
3.4826 -0.0654 5.1902
7.2012 5.7395 9.1479
4.6902 3.6719 1.8947
0.1911 -0.0654 3.9841
1.3988 3.6719 0.6886
6.0976 0.2869 2.5599
1.2729 2.3823 6.1261
4.1252 5.6703 7.9423
4.9985 3.2866 5.5590
3.9705 1.1052 8.3643
5.6831 6.4053 3.6908
2.4452 1.7908 2.9270
2.1686 5.1541 3.6820

=====

TlGa2Pd9 | the Alexandria database | PBE | optimized geometry; V = 188.9 Å³/cell; ρ = 11.444 Mg/m³; E_form = -0.3565 eV per atom; DFT total energy = -4.953 eV/atom; size of the total moment = 0.0 μB/cell; SG = P4/mmm (123)
1.0
-1.3845 2.4503 2.8335
-1.2055 -3.1515 2.1363
10.5167 -0.3402 5.4327
Pd Tl Ga
9 1 2
Cartesian
1.2937 -1.6371 2.0478
5.6411 -0.5750 6.0680
7.9280 0.9463 5.8698
4.6556 -1.7458 3.7845
-1.2950 -0.3506 2.4849
4.5661 1.0551 4.1331
8.0174 -1.8546 5.5212
2.2856 -0.4664 4.3345
1.2042 1.1638 2.3964
0.0000 0.0000 0.0000
3.5530 -0.1149 1.8354
6.9637 -0.2252 3.5973